Below is an optimized crystal structure of Mg3Pa2Pt4, with properties calculated at the GGA-PBE level.

Unit cell a=4.454 b=4.457 c=10.367 alpha=89.97 beta=90.00 gamma=60.02
Fractional coordinates of all 9 atoms:
Pt (0.999, 0.001, 0.635)
Pt (0.333, 0.333, 0.078)
Pt (0.001, 0.999, 0.365)
Pt (0.667, 0.667, 0.922)
Mg (0.000, 0.000, 0.000)
Mg (0.666, 0.667, 0.563)
Mg (0.334, 0.333, 0.437)
Pa (0.333, 0.334, 0.782)
Pa (0.667, 0.666, 0.218)

Values from the calculation:
- mass density (g/cm³) = 12.3
- energy (eV/atom) = -6.131
- calculated formation energy (kJ per mole of atoms) = -77.6
- crystal system = monoclinic


Below is an optimized crystal structure of MgPaPt, with properties calculated at the GGA-PBE level.

Unit cell a=4.652 b=4.652 c=6.654 alpha=99.67 beta=99.67 gamma=90.79
Fractional coordinates of all 6 atoms:
Mg (0.722, 0.278, 0.000)
Mg (0.278, 0.722, 0.000)
Pa (0.205, 0.795, 0.500)
Pa (0.795, 0.205, 0.500)
Pt (0.268, 0.268, 0.242)
Pt (0.732, 0.732, 0.758)

Values from the calculation:
- mass density (g/cm³) = 10.7
- energy (eV/atom) = -6.128
- calculated formation energy (kJ per mole of atoms) = -40.3
- crystal system = monoclinic


Below is an optimized crystal structure of MgPaPt2, with properties calculated at the GGA-PBE level.

Unit cell a=4.610 b=5.029 c=6.767 alpha=90.00 beta=90.00 gamma=90.00
Fractional coordinates of all 8 atoms:
Pt (0.500, 0.296, 0.771)
Pt (0.000, 0.704, 0.271)
Pt (0.000, 0.704, 0.729)
Pt (0.500, 0.296, 0.229)
Mg (0.000, 0.274, 0.000)
Mg (0.500, 0.726, 0.500)
Pa (0.000, 0.200, 0.500)
Pa (0.500, 0.800, 0.000)

Values from the calculation:
- mass density (g/cm³) = 13.7
- energy (eV/atom) = -6.703
- calculated formation energy (kJ per mole of atoms) = -87.8
- crystal system = orthorhombic


Below is an optimized crystal structure of MgPaPtRh, with properties calculated at the GGA-PBE level.

Unit cell a=4.522 b=5.051 c=4.523 alpha=116.61 beta=119.99 gamma=90.00
Fractional coordinates of all 4 atoms:
Pt (0.023, 0.069, 0.046)
Pa (0.249, 0.748, 0.499)
Mg (0.751, 0.252, 0.502)
Rh (0.477, 0.431, 0.954)

Values from the calculation:
- mass density (g/cm³) = 12.0
- energy (eV/atom) = -6.901
- calculated formation energy (kJ per mole of atoms) = -75.3
- crystal system = trigonal


Below is an optimized crystal structure of MgPaSi2Pt2, with properties calculated at the GGA-PBE level.

Unit cell a=4.257 b=4.257 c=6.726 alpha=90.00 beta=90.00 gamma=120.00
Fractional coordinates of all 6 atoms:
Si (0.333, 0.667, 0.724)
Si (0.667, 0.333, 0.276)
Pt (0.667, 0.333, 0.712)
Pt (0.333, 0.667, 0.288)
Mg (0.000, 0.000, 0.500)
Pa (0.000, 0.000, 0.000)

Values from the calculation:
- mass density (g/cm³) = 11.0
- formation energy (no corrections) (meV/atom) = -851
- energy (eV/atom) = -6.521
- crystal system = trigonal


Below is an optimized crystal structure of Mg2PaSiPt2, with properties calculated at the GGA-PBE level.

Unit cell a=5.109 b=5.109 c=6.253 alpha=114.11 beta=114.11 gamma=90.00
Fractional coordinates of all 6 atoms:
Pt (0.230, 0.230, 0.459)
Pt (0.770, 0.770, 0.541)
Pa (0.500, 0.500, 0.000)
Mg (0.250, 0.750, 0.500)
Mg (0.750, 0.250, 0.500)
Si (0.000, 0.000, 0.000)

Values from the calculation:
- mass density (g/cm³) = 8.7
- formation energy (no corrections) (meV/atom) = -258
- energy (eV/atom) = -5.289
- crystal system = tetragonal


Below is an optimized crystal structure of MgPaSnPt, with properties calculated at the GGA-PBE level.

Unit cell a=4.989 b=4.989 c=4.989 alpha=60.00 beta=60.00 gamma=60.00
Fractional coordinates of all 4 atoms:
Mg (0.500, 0.500, 0.500)
Sn (0.250, 0.250, 0.250)
Pa (0.000, 0.000, 0.000)
Pt (0.750, 0.750, 0.750)

Values from the calculation:
- mass density (g/cm³) = 10.8
- energy (eV/atom) = -5.726
- calculated formation energy (kJ per mole of atoms) = -42.7
- crystal system = cubic


Below is an optimized crystal structure of MgPaTcPt, with properties calculated at the GGA-PBE level.

Unit cell a=4.735 b=4.735 c=4.735 alpha=60.00 beta=60.00 gamma=60.00
Fractional coordinates of all 4 atoms:
Mg (0.750, 0.750, 0.750)
Pa (0.250, 0.250, 0.250)
Pt (0.000, 0.000, 0.000)
Tc (0.500, 0.500, 0.500)

Values from the calculation:
- mass density (g/cm³) = 12.1
- energy (eV/atom) = -7.305
- calculated formation energy (kJ per mole of atoms) = -41.6
- crystal system = cubic


Below is an optimized crystal structure of Pu2MgPa, with properties calculated at the GGA-PBE level.

Unit cell a=3.184 b=5.489 c=5.489 alpha=90.00 beta=90.00 gamma=90.00
Fractional coordinates of all 4 atoms:
Pu (0.000, 0.000, 0.500)
Pu (0.000, 0.500, 0.000)
Mg (0.500, 0.500, 0.500)
Pa (0.500, 0.000, 0.000)

Values from the calculation:
- mass density (g/cm³) = 12.9
- offset from the most stable computed form (meV per atom) = 98
- energy (eV/atom) = -9.717
- calculated formation energy (kJ per mole of atoms) = 21.4
- crystal system = tetragonal


Below is an optimized crystal structure of PuMgPa, with properties calculated at the GGA-PBE level.

Unit cell a=3.065 b=3.065 c=7.985 alpha=101.07 beta=101.07 gamma=90.00
Fractional coordinates of all 3 atoms:
Pu (0.670, 0.670, 0.340)
Pa (0.330, 0.330, 0.659)
Mg (0.000, 0.000, 0.000)

Values from the calculation:
- mass density (g/cm³) = 11.5
- offset from the most stable computed form (meV per atom) = 0
- energy (eV/atom) = -8.301
- calculated formation energy (kJ per mole of atoms) = 16.7
- crystal system = tetragonal


Below is an optimized crystal structure of PuMgPa, with properties calculated at the GGA-PBE level.

Unit cell a=3.165 b=3.165 c=8.569 alpha=90.00 beta=90.00 gamma=120.00
Fractional coordinates of all 3 atoms:
Pu (0.667, 0.333, 0.335)
Mg (0.000, 0.000, 0.001)
Pa (0.333, 0.667, 0.664)

Values from the calculation:
- mass density (g/cm³) = 11.2
- offset from the most stable computed form (meV per atom) = 14
- energy (eV/atom) = -8.286
- calculated formation energy (kJ per mole of atoms) = 18.1
- crystal system = trigonal


Below is an optimized crystal structure of Pu2MgPa, with properties calculated at the GGA-PBE level.

Unit cell a=3.915 b=3.915 c=9.637 alpha=78.28 beta=78.28 gamma=60.00
Fractional coordinates of all 4 atoms:
Mg (0.000, 0.000, 0.000)
Pu (0.115, 0.115, 0.655)
Pu (0.885, 0.885, 0.345)
Pa (0.500, 0.500, 0.500)

Values from the calculation:
- mass density (g/cm³) = 9.9
- offset from the most stable computed form (meV per atom) = 759
- energy (eV/atom) = -9.056
- calculated formation energy (kJ per mole of atoms) = 85.2
- crystal system = trigonal


Below is an optimized crystal structure of Pu2MgPa, with properties calculated at the GGA-PBE level.

Unit cell a=3.309 b=3.309 c=9.131 alpha=90.00 beta=90.00 gamma=90.00
Fractional coordinates of all 4 atoms:
Pa (0.500, 0.500, 0.500)
Pu (0.000, 0.000, 0.730)
Pu (0.000, 0.000, 0.270)
Mg (0.500, 0.500, 0.000)

Values from the calculation:
- mass density (g/cm³) = 12.3
- offset from the most stable computed form (meV per atom) = 0
- energy (eV/atom) = -9.815
- calculated formation energy (kJ per mole of atoms) = 11.9
- crystal system = tetragonal


Below is an optimized crystal structure of PuMgPaRe, with properties calculated at the GGA-PBE level.

Unit cell a=4.830 b=4.830 c=4.830 alpha=60.00 beta=60.00 gamma=60.00
Fractional coordinates of all 4 atoms:
Pa (0.750, 0.750, 0.750)
Mg (0.250, 0.250, 0.250)
Re (0.000, 0.000, 0.000)
Pu (0.500, 0.500, 0.500)

Values from the calculation:
- mass density (g/cm³) = 14.3
- energy (eV/atom) = -9.359
- calculated formation energy (kJ per mole of atoms) = 10.5
- crystal system = cubic